The following is a PBE-GGA calculation of a geometry-optimized IrPtPb2O structure, from Alexandria via LeMat-Bulk.

Geometry as CIF:
```
data_IrPtPb2O
_space_group_name_H-M_alt 'P 1'
_space_group_IT_number 1
_space_group_name_Hall 'P 1'
_cell_length_a 6.920
_cell_length_b 3.347
_cell_length_c 9.406
_cell_angle_alpha 90.00
_cell_angle_beta 111.70
_cell_angle_gamma 90.00
loop_
_atom_site_label
_atom_site_fract_x
_atom_site_fract_y
_atom_site_fract_z
Pb1 0.280 0.500 0.860
Pb2 0.280 0.000 0.360
Pb3 0.777 0.500 0.215
Pb4 0.777 0.000 0.715
Ir1 0.084 0.500 0.080
Ir2 0.084 0.000 0.580
O1 0.903 0.000 0.986
O2 0.903 0.500 0.486
Pt1 0.428 0.000 0.126
Pt2 0.428 0.500 0.626
```

* relative energy among the computed polymorphs: 0.1030 eV per atom
* energy relative to the elements, uncorrected: -65 meV/atom